Entry 1:
The following is a DFT calculation (PBE-GGA) of a relaxed Cr2SbPb crystal.

The structure in POSCAR format:
```
Cr2SbPb
1.0
-3.793 3.793 3.212
3.793 -3.793 3.212
3.793 3.793 -3.212
Cr Sb Pb
4 2 2
Cartesian
5.690 1.757 -0.803
1.757 1.897 0.803
-1.897 2.036 2.409
2.036 1.897 4.014
0.000 0.000 0.000
0.000 3.793 1.606
3.793 0.000 1.606
0.000 0.000 3.212
```

excess energy over the best structure of this formula in the dataset: 374 meV/atom
crystal system: tetragonal

Entry 2:
The following is a DFT calculation (PBE-GGA) of a relaxed TbCeCoBr crystal.

The structure in POSCAR format:
```
TbCeCoBr
1.0
1.944 1.123 7.703
-1.944 1.123 7.703
0.000 -2.245 7.703
Tb Ce Co Br
1 1 1 1
Cartesian
0.000 0.000 0.000
0.000 0.000 18.306
0.000 0.000 9.304
0.000 0.000 5.367
```

crystal system: trigonal
DFT total energy: -22.286 eV per cell

Entry 3:
The following is a DFT calculation (PBE-GGA) of a relaxed YBe2W crystal.

The structure in POSCAR format:
```
YBe2W
1.0
1.979 1.143 4.858
-1.979 1.143 4.858
0.000 -2.285 4.858
Y Be W
1 2 1
Cartesian
0.000 0.000 0.000
0.000 0.000 3.014
0.000 0.000 11.561
0.000 0.000 7.288
```

excess energy over the best structure of this formula in the dataset: 201 meV/atom
crystal system: trigonal
DFT formation energy: 0.343 eV per atom

Entry 4:
The following is a DFT calculation (PBE-GGA) of a relaxed RbBe2FeCo crystal.

The structure in POSCAR format:
```
RbBe2FeCo
1.0
4.564 0.000 0.000
0.000 4.564 0.000
0.000 0.000 4.323
Rb Be Fe Co
1 2 1 1
Cartesian
0.000 0.000 0.000
0.000 2.282 0.000
2.282 0.000 0.000
2.282 2.282 2.161
0.000 0.000 2.161
```

excess energy over the best structure of this formula in the dataset: 1986 meV/atom
crystal system: tetragonal
DFT formation energy: 3.062 eV per atom

Entry 5:
The following is a DFT calculation (PBE-GGA) of a relaxed TiAgSe2 crystal.

The structure in POSCAR format:
```
TiAgSe2
1.0
-3.018 3.018 5.777
3.018 -3.018 5.777
3.018 3.018 -5.777
Ti Ag Se
2 2 4
Cartesian
0.000 0.000 0.000
0.000 3.018 2.889
3.018 0.000 2.889
0.000 0.000 5.777
4.527 1.342 -1.444
1.342 1.509 1.444
-1.509 1.676 4.333
1.676 1.509 7.222
```

crystal system: tetragonal
DFT total energy: -40.042 eV per cell

Entry 6:
The following is a DFT calculation (PBE-GGA) of a relaxed Tl2CO crystal.

The structure in POSCAR format:
```
Tl2CO
1.0
-2.634 2.634 5.500
2.634 -2.634 5.500
2.634 2.634 -5.500
Tl C O
4 2 2
Cartesian
3.951 1.204 -1.375
1.204 1.317 1.375
-1.317 1.430 4.125
1.430 1.317 6.875
0.000 0.000 0.000
0.000 2.634 2.750
2.634 0.000 2.750
0.000 0.000 5.500
```

excess energy over the best structure of this formula in the dataset: 0 meV/atom
crystal system: tetragonal